1.
TeMo2 | PBE | optimized geometry

abc: 3.1898 14.5295 4.6343
angles: 90.00 90.00 90.00
Last column: nearest neighbours and their distance in Å.
Fractional coordinates of all 12 atoms:
Te 0.0000 0.1177 0.2500  10 Mo 2.69-3.00
Te 0.0000 0.8823 0.7500  10 Mo 2.69-3.00
Te 0.5000 0.3823 0.7500  10 Mo 2.69-3.00
Te 0.5000 0.6177 0.2500  10 Mo 2.69-3.00
Mo 0.0000 0.2119 0.7500  4 Te 2.69-2.95, 2 Mo 2.89
Mo 0.0000 0.4542 0.2500  4 Mo 2.67-2.89, 2 Te 2.86
Mo 0.0000 0.5458 0.7500  4 Mo 2.67-2.89, 2 Te 2.86
Mo 0.0000 0.7881 0.2500  4 Te 2.69-2.95, 2 Mo 2.89
Mo 0.5000 0.0458 0.7500  4 Mo 2.67-2.89, 2 Te 2.86
Mo 0.5000 0.2881 0.2500  4 Te 2.69-2.95, 2 Mo 2.89
Mo 0.5000 0.7119 0.7500  4 Te 2.69-2.95, 2 Mo 2.89
Mo 0.5000 0.9542 0.2500  4 Mo 2.67-2.89, 2 Te 2.86

Values from the calculation:
The uncorrected formation energy comes out at 44 kJ/mol of atoms. The value obtained for the magnetization is 0.000 μB per atom. As for the distance to the lowest polymorph of the same formula: 0.415 eV per atom. Its crystal system is orthorhombic. The symmetry is Cmcm, No. 63. As for the volume: 214.8 Å³/cell.

***

2.
TiSeN2 | PBE | optimized geometry

abc: 3.0513 3.0513 18.5006
angles: 90.00 90.00 120.00
Last column: nearest neighbours and their distance in Å.
Fractional coordinates of all 12 atoms:
Ti 0.0000 0.0000 0.0000  6 N 2.07
Ti 0.3333 0.6667 0.6667  6 N 2.07
Ti 0.6667 0.3333 0.3333  6 N 2.07
Se 0.0000 0.0000 0.5000  2 N 1.99
Se 0.3333 0.6667 0.1667  2 N 1.99
Se 0.6667 0.3333 0.8333  2 N 1.99
N 0.0000 0.0000 0.3922  1 Se 1.99, 3 Ti 2.07
N 0.0000 0.0000 0.6078  1 Se 1.99, 3 Ti 2.07
N 0.3333 0.6667 0.0588  1 Se 1.99, 3 Ti 2.07
N 0.3333 0.6667 0.2745  1 Se 1.99, 3 Ti 2.07
N 0.6667 0.3333 0.7255  1 Se 1.99, 3 Ti 2.07
N 0.6667 0.3333 0.9412  1 Se 1.99, 3 Ti 2.07

Values from the calculation:
The uncorrected formation energy comes out at -31 kJ/mol of atoms. The value obtained for the magnetization is 0.000 μB per atom. As for the distance to the lowest polymorph of the same formula: 0.000 eV per atom. Its crystal system is trigonal. The symmetry is R-3m, No. 166. As for the volume: 149.2 Å³/cell.

***

3.
TaAgPO2 | PBE | optimized geometry

abc: 3.9218 3.9218 4.8820
angles: 90.00 90.00 90.00
Last column: nearest neighbours and their distance in Å.
Fractional coordinates of all 5 atoms:
Ta 0.0000 0.0000 0.0000  4 P 2.77
Ag 0.5000 0.5000 0.5000  4 O 1.96
P 0.5000 0.5000 0.0000  2 Ag 2.44
O 0.0000 0.5000 0.5000  2 Ag 1.96
O 0.5000 0.0000 0.5000  2 Ag 1.96

Values from the calculation:
The uncorrected formation energy comes out at 63 kJ/mol of atoms. The value obtained for the magnetization is 0.000 μB per atom. As for the distance to the lowest polymorph of the same formula: 1.964 eV per atom. Its crystal system is tetragonal. The symmetry is P4/mmm, No. 123. As for the volume: 75.1 Å³/cell.

***

4.
Sc2Co3 | PBE | optimized geometry

abc: 7.4064 4.9900 8.1963
angles: 62.93 36.87 80.20
Last column: nearest neighbours and their distance in Å.
Fractional coordinates of all 10 atoms:
Sc 0.2184 0.7816 0.3776  8 Co 2.70-2.92
Sc 0.6276 0.8724 0.4684  8 Co 2.70-2.92
Sc 0.7816 0.2184 0.6224  8 Co 2.70-2.92
Sc 0.8724 0.6276 0.0316  8 Co 2.70-2.92
Co 0.2060 0.3035 0.0440  4 Co 2.28-2.49
Co 0.2060 0.8035 0.0440  4 Co 2.28-2.49
Co 0.2681 0.2681 0.7319  4 Co 2.28-2.30
Co 0.3035 0.2060 0.4465  4 Co 2.28-2.49
Co 0.5181 0.5181 0.9819  4 Co 2.28-2.30
Co 0.8035 0.2060 0.9465  4 Co 2.28-2.49

Values from the calculation:
The value obtained for the magnetization is 0.349 μB per atom. Its energy relative to the elements is -0.264 eV/atom. Its crystal system is orthorhombic. The symmetry is Fdd2, No. 43. As for the volume: 150.8 Å³/cell.

***

5.
Y2AlNi | PBE | optimized geometry

abc: 3.4265 3.4265 7.3676
angles: 90.00 90.00 90.00
Last column: nearest neighbours and their distance in Å.
Fractional coordinates of all 4 atoms:
Y 0.0000 0.0000 0.2265  4 Ni 2.94, 4 Al 3.15
Y 0.0000 0.0000 0.7735  4 Ni 2.94, 4 Al 3.15
Al 0.5000 0.5000 0.5000  8 Y 3.15, 4 Al 3.43
Ni 0.5000 0.5000 0.0000  8 Y 2.94

Values from the calculation:
The value obtained for the magnetization is 0.000 μB per atom. Its energy relative to the elements is -0.387 eV/atom. Its crystal system is tetragonal. The symmetry is P4/mmm, No. 123. As for the volume: 86.5 Å³/cell.

***

6.
B5C7 | PBE | optimized geometry

abc: 4.5846 2.5717 6.9633
angles: 90.00 97.17 90.00
Last column: nearest neighbours and their distance in Å.
Fractional coordinates of all 12 atoms:
B 0.0000 0.0000 0.0000  2 C 1.63-1.67
B 0.0816 0.0000 0.6878  3 C 1.50-1.62
B 0.5618 0.5000 0.7946  4 C 1.61-1.72
B 0.7319 0.0000 0.3797  3 C 1.53-1.60
B 0.8209 0.5000 0.1307  2 C 1.56-1.63
C 0.2446 0.5000 0.4121  4 C 1.56-1.57
C 0.2718 0.5000 0.6374  1 C 1.56, 3 B 1.61-1.62
C 0.3493 0.0000 0.1003  3 C 1.55-1.59, 1 B 1.67
C 0.3824 0.0000 0.3310  3 C 1.57-1.59, 1 B 1.60
C 0.4833 0.5000 0.0238  2 C 1.55, 2 B 1.63-1.68
C 0.8093 0.0000 0.7861  2 B 1.50-1.63
C 0.9046 0.5000 0.3548  3 B 1.53-1.56, 1 C 1.56

Values from the calculation:
The value obtained for the magnetization is 0.000 μB per atom. As for the distance to the lowest polymorph of the same formula: 0.135 eV per atom. Its energy relative to the elements is 0.393 eV/atom. Its crystal system is monoclinic. The symmetry is Pm, No. 6. As for the volume: 81.5 Å³/cell.